Entry 1:
# Cr2ReBr

Crystalline Cr2ReBr at its relaxed geometry (GGA-PBE, the Alexandria database).

Lattice parameters (Å, degrees): 6.138 6.138 6.138 90.00 90.00 90.00
Space group F-43m (No. 216)
Symmetry-distinct sites (fractional):
Cr  0.000  0.000  0.000 x4
Cr  0.250  0.250  0.250 x4
Re  0.000  0.000  0.500 x4
Br  0.250  0.250  0.750 x4

## Properties
Offset from the most stable computed form: 701 meV/atom
ΔE_f (raw): 24.8 kcal/mol of atoms

Entry 2:
# In4Br2ClF

Crystalline In4Br2ClF at its relaxed geometry (GGA-PBE, the Alexandria database).

Lattice parameters (Å, degrees): 8.987 9.210 12.727 90.00 90.00 90.00
Space group Imma (No. 74)
Symmetry-distinct sites (fractional):
In  0.000  0.007  0.194 x8
In  0.249  0.250  0.495 x8
Br  0.000  0.000  0.500 x4
Br  0.250  0.250  0.750 x4
Cl  0.250  0.250  0.250 x4
F  0.000  0.000  0.000 x4

## Properties
ΔE_f (raw): -20.5 kcal/mol of atoms

Entry 3:
# BaLiMn2S4

Crystalline BaLiMn2S4 at its relaxed geometry (GGA-PBE, the Alexandria database).

Lattice parameters (Å, degrees): 3.934 12.746 12.766 90.00 90.00 90.00
Space group Cmcm (No. 63)
Symmetry-distinct sites (fractional):
Ba  0.000  0.115  0.250 x4
Li  0.000  0.160  0.750 x4
Mn  0.000  0.368  0.059 x8
S  0.000  0.000  0.000 x4
S  0.000  0.260  0.600 x8
S  0.000  0.428  0.250 x4

## Properties
ΔE_f (raw): -23.1 kcal/mol of atoms

Entry 4:
# CoHg3W

Crystalline CoHg3W at its relaxed geometry (GGA-PBE, the Alexandria database).

Lattice parameters (Å, degrees): 4.783 4.783 4.783 90.00 90.00 90.00
Space group Pm-3m (No. 221)
Symmetry-distinct sites (fractional):
Co  0.000  0.000  0.000 x1
Hg  0.000  0.000  0.500 x3
W  0.500  0.500  0.500 x1

Entry 5:
# LiPd4Au7

Crystalline LiPd4Au7 at its relaxed geometry (GGA-PBE, the Alexandria database).

Lattice parameters (Å, degrees): 10.238 4.871 10.058 90.00 119.68 90.00
Space group C2/m (No. 12)
Symmetry-distinct sites (fractional):
Li  0.000  0.000  0.000 x2
Pd  0.082  0.500  0.774 x4
Pd  0.227  0.500  0.309 x4
Au  0.000  0.500  0.000 x2
Au  0.041  0.000  0.375 x4
Au  0.154  0.500  0.543 x4
Au  0.200  0.000  0.921 x4

Entry 6:
# Mg3H2Ir

Crystalline Mg3H2Ir at its relaxed geometry (GGA-PBE, the Alexandria database).

Lattice parameters (Å, degrees): 4.726 4.863 5.209 106.09 90.33 119.06
Space group P1 (No. 1)
Symmetry-distinct sites (fractional):
Mg  0.000  0.000  0.000 x1
Mg  0.312  0.624  0.922 x1
Mg  0.655  0.312  0.461 x1
H  0.465  0.967  0.689 x1
H  0.847  0.659  0.235 x1
Ir  0.656  0.313  0.962 x1

## Properties
Offset from the most stable computed form: 0 meV/atom

Entry 7:
# YSc3Cd4

Crystalline YSc3Cd4 at its relaxed geometry (GGA-PBE, the Alexandria database).

Lattice parameters (Å, degrees): 5.052 5.052 7.271 90.00 90.00 90.00
Space group P4/mmm (No. 123)
Symmetry-distinct sites (fractional):
Y  0.000  0.000  0.000 x1
Sc  0.000  0.000  0.500 x1
Sc  0.500  0.500  0.000 x1
Sc  0.500  0.500  0.500 x1
Cd  0.000  0.500  0.262 x4

Entry 8:
# Al2SiSe

Crystalline Al2SiSe at its relaxed geometry (GGA-PBE, the Alexandria database).

Lattice parameters (Å, degrees): 5.741 5.741 11.616 90.00 90.00 90.00
Space group I-42d (No. 122)
Symmetry-distinct sites (fractional):
Al  0.229  0.250  0.125 x8
Si  0.000  0.000  0.000 x4
Se  0.000  0.000  0.500 x4

## Properties
Offset from the most stable computed form: 0 meV/atom
ΔE_f (raw): -6.9 kcal/mol of atoms

Entry 9:
# SrPmAgO3

Crystalline SrPmAgO3 at its relaxed geometry (GGA-PBE, the Alexandria database).

Lattice parameters (Å, degrees): 6.572 3.696 9.389 90.00 103.72 90.00
Space group P2_1/m (No. 11)
Symmetry-distinct sites (fractional):
Sr  0.031  0.250  0.327 x2
Pm  0.470  0.250  0.665 x2
Ag  0.283  0.250  0.998 x2
O  0.192  0.250  0.770 x2
O  0.284  0.750  0.502 x2
O  0.341  0.250  0.225 x2

## Properties
ΔE_f (raw): -54.5 kcal/mol of atoms

Entry 10:
# CdTcAu2

Crystalline CdTcAu2 at its relaxed geometry (GGA-PBE, the Alexandria database).

Lattice parameters (Å, degrees): 2.9139 2.9139 28.6582 90.00 90.00 120.00
Space group R-3m (No. 166, hexagonal axes)
Symmetry-distinct sites (fractional):
Cd  0.0000  0.0000  0.0000 x3
Tc  0.0000  0.0000  0.5000 x3
Au  0.0000  0.0000  0.2457 x6

Entry 11:
# RbNp2TeSe4

Crystalline RbNp2TeSe4 at its relaxed geometry (GGA-PBE, the Alexandria database).

Lattice parameters (Å, degrees): 4.149 15.447 14.260 90.00 90.00 90.00
Space group Cmcm (No. 63)
Symmetry-distinct sites (fractional):
Rb  0.000  0.154  0.250 x4
Np  0.000  0.379  0.084 x8
Te  0.000  0.135  0.750 x4
Se  0.000  0.000  0.000 x4
Se  0.000  0.258  0.584 x8
Se  0.000  0.498  0.250 x4

## Properties
ΔE_f (raw): -18.6 kcal/mol of atoms

Entry 12:
# Ti2HCl3

Crystalline Ti2HCl3 at its relaxed geometry (GGA-PBE, the Alexandria database).

Lattice parameters (Å, degrees): 17.214 3.313 9.123 90.00 113.25 90.00
Space group C2/m (No. 12)
Symmetry-distinct sites (fractional):
Ti  0.064  0.000  0.202 x4
Ti  0.087  0.500  0.958 x4
H  0.033  0.500  0.104 x4
Cl  0.068  0.000  0.745 x4
Cl  0.130  0.500  0.414 x4
Cl  0.190  0.000  0.130 x4

Entry 13:
# Nb2Zn4O9

Crystalline Nb2Zn4O9 at its relaxed geometry (GGA-PBE, the Alexandria database).

Lattice parameters (Å, degrees): 5.2592 5.2592 14.3812 90.00 90.00 120.00
Space group P-3c1 (No. 165)
Symmetry-distinct sites (fractional):
Nb  0.0000  0.0000  0.1390 x4
Zn  0.3333  0.6667  0.0142 x4
Zn  0.3333  0.6667  0.2945 x4
O  0.0000  0.2859  0.2500 x6
O  0.0197  0.3397  0.9165 x12

## Properties
ΔE_f (raw): -44.0 kcal/mol of atoms

So what do the calculations give for total energy? Going down the list: -0.267, -0.115, -0.215, -0.093, -0.140, -0.135, -0.145, -0.162, -0.235, -0.156, -0.231, -0.195, -0.241 hartree per atom.